(1)
Compound: CrInCuPt
Source: Alexandria via LeMat-Bulk
Functional: PBE
Structure: relaxed

## Properties
The formation energy from the elements is -0.04 eV/atom. The total magnetic moment comes out at 3.4 μB/cell.

a = 4.4723 Å, b = 4.4723 Å, c = 4.4723 Å
α = 60.00°, β = 60.00°, γ = 60.00°
Last column: nearest neighbours and their distance in Å.
Fractional coordinates of all 4 atoms:
1 Cr 0.0000 0.0000 0.0000  4 In 2.74, 4 Cu 2.74
2 In 0.2500 0.2500 0.2500  4 Pt 2.74, 4 Cr 2.74
3 Cu 0.7500 0.7500 0.7500  4 Cr 2.74, 4 Pt 2.74
4 Pt 0.5000 0.5000 0.5000  4 Cu 2.74, 4 In 2.74

=====

(2)
Compound: YTlIn2
Source: Alexandria via LeMat-Bulk
Functional: PBE
Structure: relaxed

## Properties
The formation energy from the elements is -0.04 eV/atom. The total magnetic moment comes out at 0.0 μB/cell.

a = 3.4485 Å, b = 3.4485 Å, c = 10.4022 Å
α = 90.00°, β = 90.00°, γ = 114.39°
Last column: nearest neighbours and their distance in Å.
Fractional coordinates of all 4 atoms:
1 Y 0.0000 0.0000 0.0000  2 In 3.21, 2 Tl 3.26, 4 Y 3.45
2 Tl 0.5000 0.5000 0.2570  2 In 3.20, 2 Y 3.26, 4 Tl 3.45
3 In 0.0000 0.0000 0.5071  6 In 3.14-3.45, 2 Tl 3.20
4 In 0.5000 0.5000 0.7496  6 In 3.14-3.45, 2 Y 3.21

=====

(3)
Compound: ZrIn
Source: Alexandria via LeMat-Bulk
Functional: PBE
Structure: relaxed

## Properties
The formation energy from the elements is 1.24 eV/atom. The total magnetic moment comes out at 0.0 μB/cell.

a = 8.0208 Å, b = 8.0208 Å, c = 8.0208 Å
α = 90.00°, β = 90.00°, γ = 90.00°
Last column: nearest neighbours and their distance in Å.
Fractional coordinates of all 12 atoms:
1 Zr 0.0000 0.2500 0.5000  4 In 2.84
2 Zr 0.0000 0.7500 0.5000  4 In 2.84
3 Zr 0.2500 0.5000 0.0000  4 In 2.84
4 Zr 0.5000 0.0000 0.2500  4 In 2.84
5 Zr 0.5000 0.0000 0.7500  4 In 2.84
6 Zr 0.7500 0.5000 0.0000  4 In 2.84
7 In 0.0000 0.5000 0.2500  4 Zr 2.84
8 In 0.0000 0.5000 0.7500  4 Zr 2.84
9 In 0.2500 0.0000 0.5000  4 Zr 2.84
10 In 0.5000 0.2500 0.0000  4 Zr 2.84
11 In 0.5000 0.7500 0.0000  4 Zr 2.84
12 In 0.7500 0.0000 0.5000  4 Zr 2.84

=====

(4)
Compound: MnAg7
Source: Alexandria via LeMat-Bulk
Functional: PBE
Structure: relaxed

## Properties
The formation energy from the elements is 0.12 eV/atom. The total magnetic moment comes out at 4.6 μB/cell.

a = 5.8478 Å, b = 5.8478 Å, c = 5.8478 Å
α = 60.00°, β = 60.00°, γ = 60.00°
Last column: nearest neighbours and their distance in Å.
Fractional coordinates of all 8 atoms:
1 Mn 0.0000 0.0000 0.0000  12 Ag 2.92
2 Ag 0.0000 0.0000 0.5000  10 Ag 2.92, 2 Mn 2.92
3 Ag 0.0000 0.5000 0.0000  10 Ag 2.92, 2 Mn 2.92
4 Ag 0.0000 0.5000 0.5000  10 Ag 2.92, 2 Mn 2.92
5 Ag 0.5000 0.0000 0.0000  10 Ag 2.92, 2 Mn 2.92
6 Ag 0.5000 0.0000 0.5000  10 Ag 2.92, 2 Mn 2.92
7 Ag 0.5000 0.5000 0.0000  10 Ag 2.92, 2 Mn 2.92
8 Ag 0.5000 0.5000 0.5000  12 Ag 2.92